[1]
Material: K4AlPb
Method: DFT, PBEsol
State: optimized geometry

As for the crystal system: cubic. As for the formation energy: 0.424 eV/atom.

The structure in CIF format:
```
data_K4AlPb
_chemical_formula_sum 'K16 Al4 Pb4'
_symmetry_space_group_name_H-M 'F -4 3 m'
_symmetry_Int_Tables_number 216
_symmetry_space_group_name_Hall 'F -4 2 3'
_cell_length_a 9.798
_cell_length_b 9.798
_cell_length_c 9.798
_cell_angle_alpha 90.00
_cell_angle_beta 90.00
_cell_angle_gamma 90.00
loop_
_atom_site_label
_atom_site_fract_x
_atom_site_fract_y
_atom_site_fract_z
_atom_site_occupancy
K1 0.125 0.125 0.125 1
Al1 0.000 0.000 0.500 1
Pb1 0.250 0.250 0.750 1
```


[2]
Material: YCuSi2
Method: DFT, PBEsol
State: optimized geometry

As for the crystal system: orthorhombic. For the formation energy without anion corrections, the calculation gives -0.272 eV/atom.

The structure in CIF format:
```
data_YCuSi2
_chemical_formula_sum 'Y2 Cu2 Si4'
_symmetry_space_group_name_H-M 'C m m m'
_symmetry_Int_Tables_number 65
_symmetry_space_group_name_Hall '-C 2 2'
_cell_length_a 4.090
_cell_length_b 5.262
_cell_length_c 6.353
_cell_angle_alpha 90.00
_cell_angle_beta 90.00
_cell_angle_gamma 90.00
loop_
_atom_site_label
_atom_site_fract_x
_atom_site_fract_y
_atom_site_fract_z
_atom_site_occupancy
Y1 0.000 0.000 0.000 1
Cu1 0.000 0.000 0.500 1
Si1 0.000 0.500 0.307 1
```


[3]
Material: YSc4
Method: DFT, PBEsol
State: optimized geometry

As for the crystal system: tetragonal. The value obtained for the energy relative to the lowest polymorph listed for this composition is 0.00 eV per formula unit. As for the formation energy: 0.058 eV/atom.

The structure in CIF format:
```
data_YSc4
_chemical_formula_sum 'Y2 Sc8'
_symmetry_space_group_name_H-M 'I 4/m m m'
_symmetry_Int_Tables_number 139
_symmetry_space_group_name_Hall '-I 4 2'
_cell_length_a 3.284
_cell_length_b 3.284
_cell_length_c 22.946
_cell_angle_alpha 90.00
_cell_angle_beta 90.00
_cell_angle_gamma 90.00
loop_
_atom_site_label
_atom_site_fract_x
_atom_site_fract_y
_atom_site_fract_z
_atom_site_occupancy
Y1 0.000 0.000 0.000 1
Sc1 0.000 0.000 0.202 1
Sc2 0.000 0.000 0.394 1
```


[4]
Material: ZrNbCu2Rh
Method: DFT, PBEsol
State: optimized geometry

As for the crystal system: tetragonal. As for the formation energy: 1.566 eV/atom.

The structure in CIF format:
```
data_ZrNbCu2Rh
_chemical_formula_sum 'Zr1 Nb1 Cu2 Rh1'
_symmetry_space_group_name_H-M 'P 4/m m m'
_symmetry_Int_Tables_number 123
_symmetry_space_group_name_Hall '-P 4 2'
_cell_length_a 4.570
_cell_length_b 4.570
_cell_length_c 4.800
_cell_angle_alpha 90.00
_cell_angle_beta 90.00
_cell_angle_gamma 90.00
loop_
_atom_site_label
_atom_site_fract_x
_atom_site_fract_y
_atom_site_fract_z
_atom_site_occupancy
Zr1 0.000 0.000 0.000 1
Nb1 0.000 0.000 0.500 1
Cu1 0.000 0.500 0.500 1
Rh1 0.500 0.500 0.000 1
```


[5]
Material: Li2MgRh
Method: DFT, PBEsol
State: optimized geometry

As for the crystal system: monoclinic. As for the formation energy: -0.114 eV/atom.

The structure in CIF format:
```
data_Li2MgRh
_chemical_formula_sum 'Li2 Mg1 Rh1'
_symmetry_space_group_name_H-M 'P 1 2/m 1'
_symmetry_Int_Tables_number 10
_cell_length_a 2.890
_cell_length_b 4.560
_cell_length_c 4.584
_cell_angle_alpha 90.00
_cell_angle_beta 94.02
_cell_angle_gamma 90.00
loop_
_symmetry_equiv_pos_as_xyz
'x,y,z'
'-x,-y,-z'
'-x,y,-z'
'x,-y,z'
loop_
_atom_site_label
_atom_site_fract_x
_atom_site_fract_y
_atom_site_fract_z
_atom_site_occupancy
Li1 0.238 0.000 0.284 1
Mg1 0.500 0.500 0.000 1
Rh1 0.000 0.500 0.500 1
```


[6]
Material: BaCa2In
Method: DFT, PBEsol
State: optimized geometry

As for the crystal system: tetragonal. As for the formation energy: -0.227 eV/atom.

The structure in CIF format:
```
data_BaCa2In
_chemical_formula_sum 'Ba1 Ca2 In1'
_symmetry_space_group_name_H-M 'P 4/m m m'
_symmetry_Int_Tables_number 123
_symmetry_space_group_name_Hall '-P 4 2'
_cell_length_a 3.828
_cell_length_b 3.828
_cell_length_c 10.252
_cell_angle_alpha 90.00
_cell_angle_beta 90.00
_cell_angle_gamma 90.00
loop_
_atom_site_label
_atom_site_fract_x
_atom_site_fract_y
_atom_site_fract_z
_atom_site_occupancy
Ba1 0.000 0.000 0.000 1
Ca1 0.500 0.500 0.317 1
In1 0.000 0.000 0.500 1
```


[7]
Material: Ga2FeAsH
Method: DFT, PBEsol
State: optimized geometry

As for the crystal system: tetragonal. Its total energy is -0.1657 hartree per atom.

The structure in CIF format:
```
data_Ga2FeAsH
_chemical_formula_sum 'Ga2 Fe1 As1 H1'
_symmetry_space_group_name_H-M 'P 4/m m m'
_symmetry_Int_Tables_number 123
_symmetry_space_group_name_Hall '-P 4 2'
_cell_length_a 4.434
_cell_length_b 4.434
_cell_length_c 3.307
_cell_angle_alpha 90.00
_cell_angle_beta 90.00
_cell_angle_gamma 90.00
loop_
_atom_site_label
_atom_site_fract_x
_atom_site_fract_y
_atom_site_fract_z
_atom_site_occupancy
Ga1 0.000 0.500 0.000 1
Fe1 0.000 0.000 0.500 1
As1 0.500 0.500 0.500 1
H1 0.000 0.000 0.000 1
```


[8]
Material: MnSbRh2
Method: DFT, PBEsol
State: optimized geometry

As for the crystal system: tetragonal. For the formation energy without anion corrections, the calculation gives -0.237 eV/atom.

The structure in CIF format:
```
data_MnSbRh2
_chemical_formula_sum 'Mn1 Sb1 Rh2'
_symmetry_space_group_name_H-M 'P 4/m m m'
_symmetry_Int_Tables_number 123
_symmetry_space_group_name_Hall '-P 4 2'
_cell_length_a 4.077
_cell_length_b 4.077
_cell_length_c 3.603
_cell_angle_alpha 90.00
_cell_angle_beta 90.00
_cell_angle_gamma 90.00
loop_
_atom_site_label
_atom_site_fract_x
_atom_site_fract_y
_atom_site_fract_z
_atom_site_occupancy
Mn1 0.000 0.000 0.000 1
Sb1 0.500 0.500 0.000 1
Rh1 0.000 0.500 0.500 1
```


[9]
Material: BaTe3
Method: DFT, PBEsol
State: optimized geometry

As for the crystal system: tetragonal. For the formation energy without anion corrections, the calculation gives -0.838 eV/atom.

The structure in CIF format:
```
data_BaTe3
_chemical_formula_sum 'Ba1 Te3'
_symmetry_space_group_name_H-M 'P 4 m m'
_symmetry_Int_Tables_number 99
_cell_length_a 5.714
_cell_length_b 5.714
_cell_length_c 4.453
_cell_angle_alpha 90.00
_cell_angle_beta 90.00
_cell_angle_gamma 90.00
loop_
_symmetry_equiv_pos_as_xyz
'x,y,z'
'-y,x,z'
'-x,-y,z'
'y,-x,z'
'-x,y,z'
'y,x,z'
'x,-y,z'
'-y,-x,z'
loop_
_atom_site_label
_atom_site_fract_x
_atom_site_fract_y
_atom_site_fract_z
_atom_site_occupancy
Ba1 0.000 0.000 0.000 1
Te1 0.000 0.500 0.499 1
Te2 0.500 0.500 0.679 1
```


[10]
Material: Eu3Mg
Method: DFT, PBEsol
State: optimized geometry

As for the crystal system: orthorhombic. The value obtained for the energy relative to the lowest polymorph listed for this composition is 0.00 eV per formula unit. As for the formation energy: -0.054 eV/atom.

The structure in CIF format:
```
data_Eu3Mg
_chemical_formula_sum 'Eu6 Mg2'
_symmetry_space_group_name_H-M 'I m m 2'
_symmetry_Int_Tables_number 44
_cell_length_a 4.038
_cell_length_b 11.746
_cell_length_c 5.774
_cell_angle_alpha 90.00
_cell_angle_beta 90.00
_cell_angle_gamma 90.00
loop_
_symmetry_equiv_pos_as_xyz
'x,y,z'
'-x,-y,z'
'-x,y,z'
'x,-y,z'
'x+1/2,y+1/2,z+1/2'
'-x+1/2,-y+1/2,z+1/2'
'-x+1/2,y+1/2,z+1/2'
'x+1/2,-y+1/2,z+1/2'
loop_
_atom_site_label
_atom_site_fract_x
_atom_site_fract_y
_atom_site_fract_z
_atom_site_occupancy
Eu1 0.000 0.000 0.000 1
Eu2 0.000 0.231 0.499 1
Mg1 0.000 0.500 0.000 1
```


[11]
Material: CoAg3
Method: DFT, PBEsol
State: optimized geometry

As for the crystal system: orthorhombic. As for the formation energy: 0.317 eV/atom.

The structure in CIF format:
```
data_CoAg3
_chemical_formula_sum 'Co1 Ag3'
_symmetry_space_group_name_H-M 'P m m m'
_symmetry_Int_Tables_number 47
_cell_length_a 2.745
_cell_length_b 3.853
_cell_length_c 5.717
_cell_angle_alpha 90.00
_cell_angle_beta 90.00
_cell_angle_gamma 90.00
loop_
_symmetry_equiv_pos_as_xyz
'x,y,z'
'-x,-y,-z'
'-x,-y,z'
'x,y,-z'
'x,-y,-z'
'-x,y,z'
'-x,y,-z'
'x,-y,z'
loop_
_atom_site_label
_atom_site_fract_x
_atom_site_fract_y
_atom_site_fract_z
_atom_site_occupancy
Co1 0.000 0.000 0.000 1
Ag1 0.000 0.000 0.500 1
Ag2 0.500 0.500 0.236 1
```


[12]
Material: TaReGe3
Method: DFT, PBEsol
State: optimized geometry

As for the crystal system: cubic. As for the formation energy: 1.632 eV/atom.

The structure in CIF format:
```
data_TaReGe3
_chemical_formula_sum 'Ta1 Re1 Ge3'
_symmetry_space_group_name_H-M 'P m -3 m'
_symmetry_Int_Tables_number 221
_symmetry_space_group_name_Hall '-P 4 2 3'
_cell_length_a 4.909
_cell_length_b 4.909
_cell_length_c 4.909
_cell_angle_alpha 90.00
_cell_angle_beta 90.00
_cell_angle_gamma 90.00
loop_
_atom_site_label
_atom_site_fract_x
_atom_site_fract_y
_atom_site_fract_z
_atom_site_occupancy
Ta1 0.000 0.000 0.000 1
Re1 0.500 0.500 0.500 1
Ge1 0.000 0.000 0.500 1
```


[13]
Material: Re3As
Method: DFT, PBEsol
State: optimized geometry

As for the crystal system: monoclinic. The value obtained for the energy relative to the lowest polymorph listed for this composition is 0.62 eV per formula unit. As for the formation energy: 0.334 eV/atom.

The structure in CIF format:
```
data_Re3As
_chemical_formula_sum 'Re6 As2'
_symmetry_space_group_name_H-M 'C 1 2/m 1'
_symmetry_Int_Tables_number 12
_cell_length_a 9.257
_cell_length_b 2.890
_cell_length_c 4.467
_cell_angle_alpha 90.00
_cell_angle_beta 94.96
_cell_angle_gamma 90.00
loop_
_symmetry_equiv_pos_as_xyz
'x,y,z'
'-x,-y,-z'
'-x,y,-z'
'x,-y,z'
'x+1/2,y+1/2,z'
'-x+1/2,-y+1/2,-z'
'-x+1/2,y+1/2,-z'
'x+1/2,-y+1/2,z'
loop_
_atom_site_label
_atom_site_fract_x
_atom_site_fract_y
_atom_site_fract_z
_atom_site_occupancy
Re1 0.000 0.000 0.000 1
Re2 0.231 0.500 0.237 1
As1 0.000 0.500 0.500 1
```


[14]
Material: Y2Zr2B
Method: DFT, PBEsol
State: optimized geometry

As for the crystal system: tetragonal. As for the formation energy: 1.167 eV/atom.

The structure in CIF format:
```
data_Y2Zr2B
_chemical_formula_sum 'Y4 Zr4 B2'
_symmetry_space_group_name_H-M 'I 4/m m m'
_symmetry_Int_Tables_number 139
_symmetry_space_group_name_Hall '-I 4 2'
_cell_length_a 3.822
_cell_length_b 3.822
_cell_length_c 15.522
_cell_angle_alpha 90.00
_cell_angle_beta 90.00
_cell_angle_gamma 90.00
loop_
_atom_site_label
_atom_site_fract_x
_atom_site_fract_y
_atom_site_fract_z
_atom_site_occupancy
Y1 0.000 0.500 0.250 1
Zr1 0.000 0.000 0.075 1
B1 0.000 0.000 0.500 1
```


[15]
Material: LaMg2Cd
Method: DFT, PBEsol
State: optimized geometry

As for the crystal system: monoclinic. As for the formation energy: -0.149 eV/atom.

The structure in CIF format:
```
data_LaMg2Cd
_chemical_formula_sum 'La1 Mg2 Cd1'
_symmetry_space_group_name_H-M 'P 1 m 1'
_symmetry_Int_Tables_number 6
_cell_length_a 3.233
_cell_length_b 4.893
_cell_length_c 6.640
_cell_angle_alpha 90.00
_cell_angle_beta 103.91
_cell_angle_gamma 90.00
loop_
_symmetry_equiv_pos_as_xyz
'x,y,z'
'x,-y,z'
loop_
_atom_site_label
_atom_site_fract_x
_atom_site_fract_y
_atom_site_fract_z
_atom_site_occupancy
La1 0.000 0.000 0.000 1
Mg1 0.263 0.000 0.518 1
Mg2 0.663 0.500 0.325 1
Cd1 0.383 0.500 0.764 1
```